Record 1
The following is a PBE calculation of a geometry-optimized Lu2InNi structure, from the Alexandria database.

a b c (Å): 3.3793 3.3793 7.5777
angles (deg): 90.00 90.00 90.00
Closest atoms and distances in Å follow each position.
Atoms (fractional coordinates):
1 Lu 0.0000 0.0000 0.2110  4 Ni 2.88, 1 Lu 3.20
2 Lu 0.0000 0.0000 0.7890  4 Ni 2.88, 1 Lu 3.20
3 In 0.5000 0.5000 0.5000  8 Lu 3.24, 4 In 3.38
4 Ni 0.5000 0.5000 0.0000  8 Lu 2.88

Properties
As for the space group: No. 123. The calculation puts the formation energy at -44.9 kJ per mole of atoms. As for the density of states at the Fermi level: 4.3 states/eV per cell. The value obtained for the spin magnetization is 0.0 μB per cell. The energy above the most stable polymorph in this dataset is 0.0 kJ per mole of atoms.

Record 2
The following is a PBE calculation of a geometry-optimized LuInNi2 structure, from the Alexandria database.

a b c (Å): 3.2870 3.2870 6.2431
angles (deg): 90.00 90.00 90.00
Closest atoms and distances in Å follow each position.
Atoms (fractional coordinates):
1 Lu 0.0000 0.0000 0.0000  8 Ni 2.84, 2 In 3.12
2 In 0.0000 0.0000 0.5000  8 Ni 2.76
3 Ni 0.5000 0.5000 0.2621  4 In 2.76, 4 Lu 2.84, 1 Ni 2.97
4 Ni 0.5000 0.5000 0.7379  4 In 2.76, 4 Lu 2.84, 1 Ni 2.97

Properties
As for the space group: No. 123. The calculation puts the formation energy at -30.8 kJ per mole of atoms. As for the density of states at the Fermi level: 1.1 states/eV per cell. The value obtained for the spin magnetization is 0.0 μB per cell.

Record 3
The following is a PBE calculation of a geometry-optimized Lu2InNi structure, from the Alexandria database.

a b c (Å): 4.9851 4.9851 4.9851
angles (deg): 60.00 60.00 60.00
Closest atoms and distances in Å follow each position.
Atoms (fractional coordinates):
1 Lu 0.2500 0.2500 0.2500  4 In 3.05, 4 Ni 3.05
2 Lu 0.7500 0.7500 0.7500  4 In 3.05, 4 Ni 3.05
3 In 0.0000 0.0000 0.0000  8 Lu 3.05
4 Ni 0.5000 0.5000 0.5000  8 Lu 3.05

Properties
As for the space group: No. 225. The calculation puts the formation energy at -32.9 kJ per mole of atoms. As for the density of states at the Fermi level: 3.7 states/eV per cell. The value obtained for the spin magnetization is 0.0 μB per cell. The energy above the most stable polymorph in this dataset is 12.0 kJ per mole of atoms.

Record 4
The following is a PBE calculation of a geometry-optimized LuIn2Ni structure, from the Alexandria database.

a b c (Å): 3.2892 3.2892 7.4852
angles (deg): 90.00 90.00 90.00
Closest atoms and distances in Å follow each position.
Atoms (fractional coordinates):
1 Lu 0.0000 0.0000 0.0000  8 In 3.22, 4 Lu 3.29
2 In 0.5000 0.5000 0.2977  4 Ni 2.78, 1 In 3.03
3 In 0.5000 0.5000 0.7023  4 Ni 2.78, 1 In 3.03
4 Ni 0.0000 0.0000 0.5000  8 In 2.78

Properties
As for the space group: No. 123. The calculation puts the formation energy at -21.6 kJ per mole of atoms. As for the density of states at the Fermi level: 3.0 states/eV per cell. The value obtained for the spin magnetization is 0.3 μB per cell.

Record 5
The following is a PBE calculation of a geometry-optimized LuInNi structure, from the Alexandria database.

a b c (Å): 7.4110 7.4110 3.6845
angles (deg): 90.00 90.00 120.00
Closest atoms and distances in Å follow each position.
Atoms (fractional coordinates):
1 Lu 0.0000 0.5906 0.0000  5 Ni 2.90-3.03, 6 In 3.08-3.23
2 Lu 0.4094 0.4094 0.0000  5 Ni 2.90-3.03, 6 In 3.08-3.23
3 Lu 0.5906 0.0000 0.0000  5 Ni 2.90-3.03, 6 In 3.08-3.23
4 In 0.0000 0.2583 0.5000  4 Ni 2.66-2.79
5 In 0.2583 0.0000 0.5000  4 Ni 2.66-2.79
6 In 0.7417 0.7417 0.5000  4 Ni 2.66-2.79
7 Ni 0.0000 0.0000 0.0000  6 In 2.66
8 Ni 0.3333 0.6667 0.5000  3 In 2.79, 6 Lu 2.90
9 Ni 0.6667 0.3333 0.5000  3 In 2.79, 6 Lu 2.90

Properties
As for the space group: No. 189. The calculation puts the formation energy at -48.4 kJ per mole of atoms. As for the density of states at the Fermi level: 7.3 states/eV per cell. The value obtained for the spin magnetization is 0.0 μB per cell.

Record 6
The following is a PBE calculation of a geometry-optimized LuIn2Ni structure, from the Alexandria database.

a b c (Å): 4.2420 4.2420 4.5933
angles (deg): 90.00 90.00 90.00
Closest atoms and distances in Å follow each position.
Atoms (fractional coordinates):
1 Lu 0.0000 0.0000 0.0000  4 Ni 3.00, 8 In 3.13
2 In 0.0000 0.5000 0.5000  4 In 3.00, 4 Ni 3.13, 4 Lu 3.13
3 In 0.5000 0.0000 0.5000  4 In 3.00, 4 Ni 3.13, 4 Lu 3.13
4 Ni 0.5000 0.5000 0.0000  4 Lu 3.00, 8 In 3.13

Properties
As for the space group: No. 123. The calculation puts the formation energy at -19.2 kJ per mole of atoms. As for the density of states at the Fermi level: 2.5 states/eV per cell. The value obtained for the spin magnetization is 0.0 μB per cell.

Record 7
The following is a PBE calculation of a geometry-optimized Lu2InNi structure, from the Alexandria database.

a b c (Å): 8.5388 8.5388 8.5388
angles (deg): 24.81 24.81 24.81
Closest atoms and distances in Å follow each position.
Atoms (fractional coordinates):
1 Lu 0.2314 0.2314 0.2314  3 Ni 2.66
2 Lu 0.7686 0.7686 0.7686  3 Ni 2.66
3 In 0.0000 0.0000 0.0000  6 Lu 3.30, 6 In 3.67
4 Ni 0.5000 0.5000 0.5000  6 Lu 2.66

Properties
As for the space group: No. 166. The calculation puts the formation energy at -29.5 kJ per mole of atoms. As for the density of states at the Fermi level: 3.2 states/eV per cell. The value obtained for the spin magnetization is 0.0 μB per cell. The energy above the most stable polymorph in this dataset is 15.4 kJ per mole of atoms.

Record 8
The following is a PBE calculation of a geometry-optimized LuInNi structure, from the Alexandria database.

a b c (Å): 4.5096 4.5096 4.5096
angles (deg): 60.00 60.00 60.00
Closest atoms and distances in Å follow each position.
Atoms (fractional coordinates):
1 Lu 0.0000 0.0000 0.0000  4 Ni 2.76
2 In 0.5000 0.5000 0.5000  4 Ni 2.76
3 Ni 0.2500 0.2500 0.2500  4 In 2.76, 4 Lu 2.76

Properties
As for the space group: No. 216. The calculation puts the formation energy at -34.6 kJ per mole of atoms. As for the density of states at the Fermi level: 3.6 states/eV per cell. The value obtained for the spin magnetization is 0.0 μB per cell.

Record 9
The following is a PBE calculation of a geometry-optimized LuInNi structure, from the Alexandria database.

a b c (Å): 4.5089 4.5089 3.4516
angles (deg): 90.00 90.00 120.00
Closest atoms and distances in Å follow each position.
Atoms (fractional coordinates):
1 Lu 0.0000 0.0000 0.0000  6 In 3.12, 6 Ni 3.12, 2 Lu 3.45
2 In 0.3333 0.6667 0.5000  3 Ni 2.60
3 Ni 0.6667 0.3333 0.5000  3 In 2.60

Properties
As for the space group: No. 187. The calculation puts the formation energy at -34.3 kJ per mole of atoms. As for the density of states at the Fermi level: 3.0 states/eV per cell. The value obtained for the spin magnetization is 0.0 μB per cell.

Record 10
The following is a PBE calculation of a geometry-optimized LuInNi structure, from the Alexandria database.

a b c (Å): 6.0274 6.0274 6.0274
angles (deg): 148.73 148.73 44.82
Closest atoms and distances in Å follow each position.
Atoms (fractional coordinates):
1 Lu 0.0000 0.0000 0.0000  4 Ni 2.82
2 In 0.7130 0.7130 0.0000  4 Ni 2.78
3 Ni 0.3532 0.3532 0.0000  4 In 2.78, 4 Lu 2.82

Properties
As for the space group: No. 107. The calculation puts the formation energy at -33.4 kJ per mole of atoms. As for the density of states at the Fermi level: 1.9 states/eV per cell. The value obtained for the spin magnetization is 0.0 μB per cell.

Record 11
The following is a PBE calculation of a geometry-optimized LuInNi2 structure, from the Alexandria database.

a b c (Å): 4.5390 4.5390 4.5390
angles (deg): 60.00 60.00 60.00
Closest atoms and distances in Å follow each position.
Atoms (fractional coordinates):
1 Lu 0.0000 0.0000 0.0000  8 Ni 2.78
2 In 0.5000 0.5000 0.5000  8 Ni 2.78
3 Ni 0.2500 0.2500 0.2500  4 In 2.78, 4 Lu 2.78
4 Ni 0.7500 0.7500 0.7500  4 In 2.78, 4 Lu 2.78

Properties
As for the space group: No. 225. The calculation puts the formation energy at -40.0 kJ per mole of atoms. As for the density of states at the Fermi level: 3.2 states/eV per cell. The value obtained for the spin magnetization is 0.0 μB per cell.

Record 12
The following is a PBE calculation of a geometry-optimized PmLuInNi structure, from the Alexandria database.

a b c (Å): 5.1111 5.1111 5.1111
angles (deg): 60.00 60.00 60.00
Closest atoms and distances in Å follow each position.
Atoms (fractional coordinates):
1 Pm 0.0000 0.0000 0.0000  4 In 3.13, 4 Ni 3.13
2 Lu 0.5000 0.5000 0.5000  4 In 3.13, 4 Ni 3.13
3 In 0.7500 0.7500 0.7500  4 Pm 3.13, 4 Lu 3.13
4 Ni 0.2500 0.2500 0.2500  4 Pm 3.13, 4 Lu 3.13

Properties
As for the space group: No. 216. The calculation puts the formation energy at -27.7 kJ per mole of atoms. As for the density of states at the Fermi level: 4.0 states/eV per cell. The value obtained for the spin magnetization is 0.0 μB per cell.

Record 13
The following is a PBE calculation of a geometry-optimized PrLuInNi structure, from the Alexandria database.

a b c (Å): 5.1529 5.1529 5.1529
angles (deg): 60.00 60.00 60.00
Closest atoms and distances in Å follow each position.
Atoms (fractional coordinates):
1 Pr 0.0000 0.0000 0.0000  4 In 3.16, 4 Ni 3.16
2 Lu 0.5000 0.5000 0.5000  4 In 3.16, 4 Ni 3.16
3 In 0.7500 0.7500 0.7500  4 Pr 3.16, 4 Lu 3.16
4 Ni 0.2500 0.2500 0.2500  4 Pr 3.16, 4 Lu 3.16

Properties
As for the space group: No. 216. The calculation puts the formation energy at -24.9 kJ per mole of atoms. As for the density of states at the Fermi level: 4.1 states/eV per cell. The value obtained for the spin magnetization is 0.0 μB per cell.